1.
Here is a relaxed Dy2Y3Ho6Er crystal from Alexandria. Energies are from PBE.

DOS at the Fermi energy	16.87	states/eV/f.u.
formation energy from the elements	0.254	eV/f.u.

Unit cell a=6.1231 b=6.1231 c=11.7263 alpha=94.98 beta=94.98 gamma=119.94
Fractional positions:
Dy (0.1666, 0.8334, 0.0000)
Dy (0.8334, 0.1666, 0.0000)
Y (0.0000, 0.0000, 0.5000)
Y (0.3334, 0.6666, 0.5000)
Y (0.6666, 0.3334, 0.5000)
Ho (0.0835, 0.4167, 0.7514)
Ho (0.2502, 0.2502, 0.2487)
Ho (0.4167, 0.0835, 0.7514)
Ho (0.5833, 0.9165, 0.2486)
Ho (0.7498, 0.7498, 0.7513)
Ho (0.9165, 0.5833, 0.2486)
Er (0.5000, 0.5000, 0.0000)

***

2.
Here is a relaxed Pm4Er4Mg crystal from Alexandria. Energies are from PBE.

DOS at the Fermi energy	13.19	states/eV/f.u.
formation energy from the elements	0.402	eV/f.u.

Unit cell a=6.6550 b=8.6599 c=10.3045 alpha=82.97 beta=78.90 gamma=79.08
Fractional positions:
Pm (0.0515, 0.2032, 0.3529)
Pm (0.2224, 0.5072, 0.0770)
Pm (0.2772, 0.4926, 0.4282)
Pm (0.4126, 0.8331, 0.8073)
Pm (0.5874, 0.1669, 0.1927)
Pm (0.7228, 0.5074, 0.5718)
Pm (0.7776, 0.4928, 0.9230)
Pm (0.9485, 0.7968, 0.6471)
Er (0.0832, 0.1685, 0.6985)
Er (0.1190, 0.1309, 0.0380)
Er (0.3872, 0.8679, 0.4580)
Er (0.4423, 0.8011, 0.1477)
Er (0.5577, 0.1989, 0.8523)
Er (0.6128, 0.1321, 0.5420)
Er (0.8810, 0.8691, 0.9620)
Er (0.9168, 0.8315, 0.3015)
Mg (0.2547, 0.4932, 0.7524)
Mg (0.7453, 0.5068, 0.2476)

***

3.
Here is a relaxed KRb2Y crystal from Alexandria. Energies are from PBE.

DOS at the Fermi energy	5.81	states/eV/f.u.
formation energy from the elements	1.893	eV/f.u.

Unit cell a=16.3466 b=16.3466 c=16.3466 alpha=14.23 beta=14.23 gamma=14.23
Fractional positions:
K (0.0000, 0.0000, 0.0000)
Rb (0.4206, 0.4206, 0.4206)
Rb (0.5794, 0.5794, 0.5794)
Y (0.5000, 0.5000, 0.5000)

***

4.
Here is a relaxed BaNdCu2Sb2 crystal from Alexandria. Energies are from PBE.

DOS at the Fermi energy	4.10	states/eV/f.u.
formation energy (no corrections)	-0.716	eV/atom

Unit cell a=4.4993 b=4.4993 c=9.1211 alpha=90.00 beta=90.00 gamma=120.00
Fractional positions:
Ba (0.0000, 0.0000, 0.0000)
Nd (0.0000, 0.0000, 0.5000)
Cu (0.3333, 0.6667, 0.7038)
Cu (0.6667, 0.3333, 0.2962)
Sb (0.3333, 0.6667, 0.2693)
Sb (0.6667, 0.3333, 0.7307)

***

5.
Here is a relaxed Ta4Ir3Ru crystal from Alexandria. Energies are from PBE.

DOS at the Fermi energy	6.95	states/eV/f.u.
formation energy from the elements	-3.990	eV/f.u.

Unit cell a=9.2259 b=5.7890 c=4.8375 alpha=90.00 beta=90.00 gamma=90.00
Fractional positions:
Ta (0.0000, 0.2497, 0.0000)
Ta (0.0000, 0.7503, 0.0000)
Ta (0.2500, 0.2485, 0.3909)
Ta (0.2500, 0.7515, 0.3909)
Ta (0.5000, 0.2497, 0.0000)
Ta (0.5000, 0.7503, 0.0000)
Ta (0.7500, 0.2485, 0.6091)
Ta (0.7500, 0.7515, 0.6091)
Ir (0.0000, 0.5000, 0.5000)
Ir (0.2500, 0.0000, 0.8815)
Ir (0.2500, 0.5000, 0.8777)
Ir (0.5000, 0.5000, 0.5000)
Ir (0.7500, 0.0000, 0.1185)
Ir (0.7500, 0.5000, 0.1223)
Ru (0.0000, 0.0000, 0.5000)
Ru (0.5000, 0.0000, 0.5000)

***

6.
Here is a relaxed VIn2Pb crystal from Alexandria. Energies are from PBE.

DOS at the Fermi energy	4.95	states/eV/f.u.
formation energy from the elements	2.434	eV/f.u.

Unit cell a=11.5907 b=11.5907 c=11.5907 alpha=16.38 beta=16.38 gamma=16.38
Fractional positions:
V (0.0000, 0.0000, 0.0000)
In (0.0822, 0.0822, 0.0822)
In (0.9178, 0.9178, 0.9178)
Pb (0.5000, 0.5000, 0.5000)

***

7.
Here is a relaxed CsZnAg3 crystal from Alexandria. Energies are from PBE.

DOS at the Fermi energy	1.54	states/eV/f.u.
formation energy from the elements	0.344	eV/f.u.

Unit cell a=8.8260 b=8.8260 c=6.7409 alpha=90.22 beta=90.22 gamma=87.68
Fractional positions:
Cs (0.0669, 0.2247, 0.2433)
Cs (0.2247, 0.0669, 0.7433)
Cs (0.7753, 0.9331, 0.2567)
Cs (0.9331, 0.7753, 0.7567)
Zn (0.2604, 0.7396, 0.2500)
Zn (0.4792, 0.5208, 0.2500)
Zn (0.5208, 0.4792, 0.7500)
Zn (0.7396, 0.2604, 0.7500)
Ag (0.0048, 0.5942, 0.2540)
Ag (0.2523, 0.5144, 0.9602)
Ag (0.2529, 0.5150, 0.5393)
Ag (0.4058, 0.9952, 0.2460)
Ag (0.4850, 0.7471, 0.9607)
Ag (0.4856, 0.7477, 0.5398)
Ag (0.5144, 0.2523, 0.4602)
Ag (0.5150, 0.2529, 0.0393)
Ag (0.5942, 0.0048, 0.7540)
Ag (0.7471, 0.4850, 0.4607)
Ag (0.7477, 0.4856, 0.0398)
Ag (0.9952, 0.4058, 0.7460)

***

8.
Here is a relaxed K2Cd2Cu crystal from Alexandria. Energies are from PBE.

DOS at the Fermi energy	2.98	states/eV/f.u.
formation energy from the elements	0.941	eV/f.u.

Unit cell a=10.7900 b=10.7900 c=10.7900 alpha=157.86 beta=157.86 gamma=31.51
Fractional positions:
K (0.0938, 0.0938, 0.0000)
K (0.9062, 0.9062, 0.0000)
Cd (0.2500, 0.7500, 0.5000)
Cd (0.7500, 0.2500, 0.5000)
Cu (0.5000, 0.5000, 0.0000)

***

9.
Here is a relaxed Ti4IrC crystal from Alexandria. Energies are from PBE.

DOS at the Fermi energy	7.58	states/eV/f.u.
formation energy from the elements	-1.657	eV/f.u.

Unit cell a=5.5382 b=5.5382 c=3.2586 alpha=90.00 beta=90.00 gamma=90.56
Fractional positions:
Ti (0.2335, 0.7665, 0.0000)
Ti (0.3233, 0.3233, 0.5000)
Ti (0.6767, 0.6767, 0.5000)
Ti (0.7665, 0.2335, 0.0000)
Ir (0.0000, 0.0000, 0.5000)
C (0.5000, 0.5000, 0.0000)

***

10.
Here is a relaxed Sb3PtCl crystal from Alexandria. Energies are from PBE.

DOS at the Fermi energy	7.85	states/eV/f.u.
formation energy (no corrections)	0.347	eV/atom

Unit cell a=5.3252 b=5.3252 c=5.3252 alpha=90.00 beta=90.00 gamma=90.00
Fractional positions:
Sb (0.0000, 0.0000, 0.5000)
Sb (0.0000, 0.5000, 0.0000)
Sb (0.5000, 0.0000, 0.0000)
Pt (0.0000, 0.0000, 0.0000)
Cl (0.5000, 0.5000, 0.5000)

***

11.
Here is a relaxed BeAgSe3 crystal from Alexandria. Energies are from PBE.

DOS at the Fermi energy	5.13	states/eV/f.u.
formation energy (no corrections)	0.342	eV/atom

Unit cell a=4.6531 b=4.6531 c=4.6531 alpha=90.00 beta=90.00 gamma=90.00
Fractional positions:
Be (0.0000, 0.0000, 0.0000)
Ag (0.5000, 0.5000, 0.5000)
Se (0.0000, 0.0000, 0.5000)
Se (0.0000, 0.5000, 0.0000)
Se (0.5000, 0.0000, 0.0000)

***

12.
Here is a relaxed TcPbC3 crystal from Alexandria. Energies are from PBE.

DOS at the Fermi energy	6.24	states/eV/f.u.
formation energy from the elements	19.281	eV/f.u.

Unit cell a=4.2844 b=4.2844 c=4.2844 alpha=90.00 beta=90.00 gamma=90.00
Fractional positions:
Tc (0.0000, 0.0000, 0.0000)
Pb (0.5000, 0.5000, 0.5000)
C (0.0000, 0.5000, 0.5000)
C (0.5000, 0.0000, 0.5000)
C (0.5000, 0.5000, 0.0000)

***

13.
Here is a relaxed Pm8GaOs3Br4 crystal from Alexandria. Energies are from PBE.

DOS at the Fermi energy	4.74	states/eV/f.u.
formation energy (no corrections)	-0.737	eV/atom

Unit cell a=8.3225 b=8.3225 c=9.0953 alpha=117.25 beta=117.25 gamma=60.02
Fractional positions:
Pm (0.2162, 0.7396, 0.6951)
Pm (0.2344, 0.2344, 0.7027)
Pm (0.2604, 0.2604, 0.3049)
Pm (0.2604, 0.7838, 0.3049)
Pm (0.7396, 0.2162, 0.6951)
Pm (0.7396, 0.7396, 0.6951)
Pm (0.7656, 0.7656, 0.2973)
Pm (0.7838, 0.2604, 0.3049)
Ga (0.5000, 0.5000, 0.5000)
Os (0.0000, 0.0000, 0.5000)
Os (0.0000, 0.5000, 0.5000)
Os (0.5000, 0.0000, 0.5000)
Br (0.0000, 0.0000, 0.0000)
Br (0.0000, 0.5000, 0.0000)
Br (0.5000, 0.0000, 0.0000)
Br (0.5000, 0.5000, 0.0000)

***

14.
Here is a relaxed YAl11Fe crystal from Alexandria. Energies are from PBE.

DOS at the Fermi energy	5.34	states/eV/f.u.
formation energy from the elements	-2.409	eV/f.u.

Unit cell a=6.7740 b=6.7740 c=7.1211 alpha=97.15 beta=97.15 gamma=135.35
Fractional positions:
Y (0.0000, 0.0000, 0.0000)
Al (0.0000, 0.0000, 0.5000)
Al (0.0000, 0.5000, 0.0000)
Al (0.0224, 0.3659, 0.3623)
Al (0.2846, 0.4993, 0.7692)
Al (0.3659, 0.0224, 0.3623)
Al (0.4993, 0.2846, 0.7692)
Al (0.5000, 0.0000, 0.0000)
Al (0.5007, 0.7154, 0.2308)
Al (0.6341, 0.9776, 0.6377)
Al (0.7154, 0.5007, 0.2308)
Al (0.9776, 0.6341, 0.6377)
Fe (0.5000, 0.5000, 0.5000)

***

15.
Here is a relaxed YTlCdPb crystal from Alexandria. Energies are from PBE.

DOS at the Fermi energy	1.68	states/eV/f.u.
formation energy from the elements	-1.206	eV/f.u.

Unit cell a=4.5534 b=4.6947 c=4.9655 alpha=90.00 beta=90.00 gamma=90.00
Fractional positions:
Y (0.0000, 0.0000, 0.0000)
Tl (0.5000, 0.0000, 0.5000)
Cd (0.0000, 0.5000, 0.5000)
Pb (0.5000, 0.5000, 0.0000)

***

16.
Here is a relaxed Ac6Ir2PtSe crystal from Alexandria. Energies are from PBE.

DOS at the Fermi energy	5.76	states/eV/f.u.
formation energy (no corrections)	-0.900	eV/atom

Unit cell a=8.3861 b=8.3861 c=8.3861 alpha=54.04 beta=54.04 gamma=54.04
Fractional positions:
Ac (0.0037, 0.3506, 0.6456)
Ac (0.1366, 0.8609, 0.5191)
Ac (0.3506, 0.6456, 0.0037)
Ac (0.5191, 0.1366, 0.8609)
Ac (0.6456, 0.0037, 0.3506)
Ac (0.8609, 0.5191, 0.1366)
Ir (0.2472, 0.2472, 0.2472)
Ir (0.7471, 0.7471, 0.7471)
Pt (0.9320, 0.9320, 0.9320)
Se (0.4326, 0.4326, 0.4326)

***

17.
Here is a relaxed ScTlHgPd crystal from Alexandria. Energies are from PBE.

DOS at the Fermi energy	1.34	states/eV/f.u.
formation energy from the elements	-1.398	eV/f.u.

Unit cell a=4.8362 b=4.8362 c=4.8362 alpha=60.00 beta=60.00 gamma=60.00
Fractional positions:
Sc (0.0000, 0.0000, 0.0000)
Tl (0.2500, 0.2500, 0.2500)
Hg (0.7500, 0.7500, 0.7500)
Pd (0.5000, 0.5000, 0.5000)

***

18.
Here is a relaxed BiSb2MoP crystal from Alexandria. Energies are from PBE.

DOS at the Fermi energy	4.05	states/eV/f.u.
formation energy (no corrections)	1.126	eV/atom

Unit cell a=5.1263 b=5.1263 c=5.3156 alpha=90.00 beta=90.00 gamma=90.00
Fractional positions:
Bi (0.0000, 0.0000, 0.0000)
Sb (0.0000, 0.5000, 0.5000)
Sb (0.5000, 0.0000, 0.5000)
Mo (0.5000, 0.5000, 0.0000)
P (0.0000, 0.0000, 0.5000)

***

19.
Here is a relaxed Hf2Be15Al2 crystal from Alexandria. Energies are from PBE.

DOS at the Fermi energy	2.50	states/eV/f.u.
formation energy from the elements	-3.138	eV/f.u.

Unit cell a=5.8152 b=5.8152 c=5.8152 alpha=82.78 beta=82.78 gamma=82.78
Fractional positions:
Hf (0.1528, 0.1528, 0.1528)
Hf (0.8472, 0.8472, 0.8472)
Be (0.0000, 0.5000, 0.5000)
Be (0.1520, 0.1520, 0.6674)
Be (0.1520, 0.6674, 0.1520)
Be (0.2014, 0.5000, 0.7986)
Be (0.2014, 0.7986, 0.5000)
Be (0.3326, 0.8480, 0.8480)
Be (0.5000, 0.0000, 0.5000)
Be (0.5000, 0.2014, 0.7986)
Be (0.5000, 0.5000, 0.0000)
Be (0.5000, 0.7986, 0.2014)
Be (0.6674, 0.1520, 0.1520)
Be (0.7986, 0.2014, 0.5000)
Be (0.7986, 0.5000, 0.2014)
Be (0.8480, 0.3326, 0.8480)
Be (0.8480, 0.8480, 0.3326)
Al (0.3935, 0.3935, 0.3935)
Al (0.6065, 0.6065, 0.6065)

***

20.
Here is a relaxed CdHg2Ru crystal from Alexandria. Energies are from PBE.

DOS at the Fermi energy	2.23	states/eV/f.u.
formation energy from the elements	1.594	eV/f.u.

Unit cell a=5.1126 b=5.1126 c=5.3642 alpha=100.89 beta=100.89 gamma=34.97
Fractional positions:
Cd (0.0000, 0.0000, 0.0000)
Hg (0.2406, 0.2406, 0.7344)
Hg (0.7594, 0.7594, 0.2656)
Ru (0.5000, 0.5000, 0.5000)

***

21.
Here is a relaxed InMo2Pt crystal from Alexandria. Energies are from PBE.

DOS at the Fermi energy	3.02	states/eV/f.u.
formation energy from the elements	0.341	eV/f.u.

Unit cell a=2.7820 b=4.1340 c=5.8827 alpha=90.00 beta=90.00 gamma=90.00
Fractional positions:
In (0.0000, 0.0000, 0.0000)
Mo (0.0000, 0.0000, 0.4975)
Mo (0.5000, 0.5000, 0.2725)
Pt (0.5000, 0.5000, 0.7492)